No. 1
Here is a relaxed As2PN2 crystal from Alexandria via LeMat-Bulk. Energies are from GGA-PBE.

Results
Its density of states at the Fermi level is 0.6824 states/eV/atom. As for the symmetry: I4/mmm, No. 139. As for the uncorrected formation energy: 487 kJ/mol of formula units. The total magnetization is 0.68 μB per cell. The value obtained for the volume is 74 Å³/cell. The calculation puts the mass density at 4.7 Mg/m³. The electronic total energy comes out at -26.31 eV per cell. The excess energy over the best structure of this formula in the dataset is 248 meV/atom.

Cell lengths 3.542, 3.542, 6.391 Å; angles 73.91, 73.91, 90.00 degrees
Each line ends with the local moment (μB).
Element x y z (fractional)
As (0.332, 0.332, 0.335)  0.01
As (0.668, 0.668, 0.665)  0.01
N (0.250, 0.750, 0.500)  0.06
N (0.750, 0.250, 0.500)  0.06
P (0.000, 0.000, 0.000)  0.22

---

No. 2
Here is a relaxed Cs2K3Na crystal from Alexandria via LeMat-Bulk. Energies are from GGA-PBE.

Results
Its density of states at the Fermi level is 0.8647 states/eV/atom. As for the symmetry: C2/c, No. 15. The total magnetization is 0.00 μB per cell. The value obtained for the volume is 954 Å³/cell. The calculation puts the mass density at 1.4 Mg/m³. The electronic total energy comes out at -12.29 eV per cell. The excess energy over the best structure of this formula in the dataset is 22 meV/atom. The calculation puts the energy of formation at 0.03 eV/atom.

Cell lengths 9.287, 9.670, 11.847 Å; angles 101.95, 113.08, 90.00 degrees
Element x y z (fractional)
K (0.889, 0.940, 0.776)
K (0.114, 0.560, 0.224)
K (0.315, 0.250, 0.000)
K (0.685, 0.750, 0.000)
K (0.886, 0.440, 0.776)
K (0.111, 0.060, 0.224)
Cs (0.684, 0.587, 0.364)
Cs (0.316, 0.413, 0.636)
Cs (0.320, 0.913, 0.636)
Cs (0.680, 0.087, 0.364)
Na (0.260, 0.750, 0.000)
Na (0.740, 0.250, 0.000)

---

No. 3
Here is a relaxed Tl3Re crystal from Alexandria via LeMat-Bulk. Energies are from GGA-PBE.

Results
Its density of states at the Fermi level is 0.5430 states/eV/atom. As for the symmetry: Cmmm, No. 65. The total magnetization is 0.00 μB per cell. The value obtained for the volume is 96 Å³/cell. The calculation puts the mass density at 13.8 Mg/m³. The electronic total energy comes out at -16.44 eV per cell. The excess energy over the best structure of this formula in the dataset is 244 meV/atom. The calculation puts the energy of formation at 0.78 eV/atom.

Cell lengths 3.077, 3.077, 11.161 Å; angles 90.00, 90.00, 114.09 degrees
Element x y z (fractional)
Tl (0.500, 0.500, 0.216)
Tl (0.500, 0.500, 0.784)
Tl (0.000, 0.000, 0.500)
Re (0.000, 0.000, 0.000)

---

No. 4
Here is a relaxed SrNiP2 crystal from Alexandria via LeMat-Bulk. Energies are from GGA-PBE.

Results
Its density of states at the Fermi level is 0.8406 states/eV/atom. As for the symmetry: F-43m, No. 216. The total magnetization is 0.00 μB per cell. The value obtained for the volume is 74 Å³/cell. The calculation puts the mass density at 4.7 Mg/m³. The electronic total energy comes out at -17.22 eV per cell. The calculation puts the energy of formation at 0.27 eV/atom.

Cell lengths 4.708, 4.708, 4.708 Å; angles 60.00, 60.00, 60.00 degrees
Element x y z (fractional)
Ni (0.500, 0.500, 0.500)
P (0.000, 0.000, 0.000)
P (0.250, 0.250, 0.250)
Sr (0.750, 0.750, 0.750)

---

No. 5
Here is a relaxed Ba4Sb3PbO12 crystal from Alexandria via LeMat-Bulk. Energies are from GGA-PBE.

Results
Its density of states at the Fermi level is 0.2283 states/eV/atom. As for the symmetry: Im-3m, No. 229. As for the uncorrected formation energy: -3819 kJ/mol of formula units. The total magnetization is 0.00 μB per cell. The value obtained for the volume is 320 Å³/cell. The calculation puts the mass density at 6.8 Mg/m³. The electronic total energy comes out at -122.84 eV per cell.

Cell lengths 7.460, 7.460, 7.460 Å; angles 109.47, 109.47, 109.47 degrees
Element x y z (fractional)
Ba (0.000, 0.500, 0.000)
Ba (0.500, 0.000, 0.000)
Ba (0.500, 0.500, 0.500)
Ba (0.000, 0.000, 0.500)
O (0.271, 0.271, 0.000)
O (0.750, 0.500, 0.250)
O (0.729, 0.729, 0.000)
O (0.729, 0.000, 0.729)
O (0.000, 0.271, 0.271)
O (0.250, 0.750, 0.500)
O (0.271, 0.000, 0.271)
O (0.500, 0.250, 0.750)
O (0.750, 0.250, 0.500)
O (0.250, 0.500, 0.750)
O (0.500, 0.750, 0.250)
O (0.000, 0.729, 0.729)
Sb (0.000, 0.500, 0.500)
Sb (0.500, 0.000, 0.500)
Sb (0.500, 0.500, 0.000)
Pb (0.000, 0.000, 0.000)

---

No. 6
Here is a relaxed K4Pr3BiO8 crystal from Alexandria via LeMat-Bulk. Energies are from GGA-PBE.

Results
Its density of states at the Fermi level is 0.0000 states/eV/atom. As for the symmetry: R-3m, No. 166. As for the uncorrected formation energy: -3508 kJ/mol of formula units. The total magnetization is 0.00 μB per cell. The value obtained for the volume is 294 Å³/cell. The calculation puts the mass density at 5.2 Mg/m³. The electronic total energy comes out at -98.63 eV per cell.

Cell lengths 7.322, 7.606, 7.322 Å; angles 118.78, 120.00, 90.00 degrees
Element x y z (fractional)
K (0.000, 0.000, 0.000)
K (0.000, 0.000, 0.500)
K (0.500, 0.000, 0.000)
K (0.500, 0.000, 0.500)
O (0.730, 0.696, 0.963)
O (0.270, 0.304, 0.037)
O (0.767, 0.304, 0.534)
O (0.767, 0.304, 0.037)
O (0.233, 0.696, 0.466)
O (0.233, 0.696, 0.963)
O (0.270, 0.309, 0.539)
O (0.730, 0.691, 0.461)
Pr (0.000, 0.500, 0.500)
Pr (0.500, 0.500, 0.000)
Pr (0.500, 0.500, 0.500)
Bi (0.000, 0.500, 0.000)

---

No. 7
Here is a relaxed Zn12InAg6 crystal from Alexandria via LeMat-Bulk. Energies are from GGA-PBE.

Results
Its density of states at the Fermi level is 0.2842 states/eV/atom. As for the symmetry: R-3m, No. 166. The total magnetization is 0.00 μB per cell. The value obtained for the volume is 344 Å³/cell. The calculation puts the mass density at 7.5 Mg/m³. The electronic total energy comes out at -33.87 eV per cell. The calculation puts the energy of formation at 0.07 eV/atom.

Cell lengths 7.332, 7.332, 7.332 Å; angles 105.06, 105.06, 105.06 degrees
Element x y z (fractional)
Zn (0.110, 0.500, 0.890)
Zn (0.643, 0.643, 0.899)
Zn (0.899, 0.643, 0.643)
Zn (0.101, 0.357, 0.357)
Zn (0.500, 0.110, 0.890)
Zn (0.357, 0.101, 0.357)
Zn (0.890, 0.500, 0.110)
Zn (0.110, 0.890, 0.500)
Zn (0.500, 0.890, 0.110)
Zn (0.890, 0.110, 0.500)
Zn (0.643, 0.899, 0.643)
Zn (0.357, 0.357, 0.101)
Ag (0.298, 0.694, 0.298)
Ag (0.702, 0.702, 0.306)
Ag (0.702, 0.306, 0.702)
Ag (0.694, 0.298, 0.298)
Ag (0.306, 0.702, 0.702)
Ag (0.298, 0.298, 0.694)
In (0.000, 0.000, 0.000)

---

No. 8
Here is a relaxed BaCuRu2 crystal from Alexandria via LeMat-Bulk. Energies are from GGA-PBE.

Results
Its density of states at the Fermi level is 0.9433 states/eV/atom. As for the symmetry: P2/m, No. 10. The total magnetization is 0.00 μB per cell. The value obtained for the volume is 96 Å³/cell. The calculation puts the mass density at 7.0 Mg/m³. The electronic total energy comes out at -22.31 eV per cell. The excess energy over the best structure of this formula in the dataset is 362 meV/atom. The calculation puts the energy of formation at 0.56 eV/atom.

Cell lengths 4.421, 4.261, 5.212 Å; angles 77.04, 90.00, 90.00 degrees
Element x y z (fractional)
Ru (0.000, 0.979, 0.851)
Ru (0.000, 0.521, 0.649)
Cu (0.500, 0.750, 0.750)
Ba (0.500, 0.250, 0.250)

---

No. 9
Here is a relaxed LaNdTl4 crystal from Alexandria via LeMat-Bulk. Energies are from GGA-PBE.

Results
Its density of states at the Fermi level is 0.8205 states/eV/atom. As for the symmetry: C2/m, No. 12. The total magnetization is 0.00 μB per cell. The value obtained for the volume is 210 Å³/cell. The calculation puts the mass density at 8.7 Mg/m³. The electronic total energy comes out at -19.45 eV per cell. The excess energy over the best structure of this formula in the dataset is 145 meV/atom. The calculation puts the energy of formation at -0.05 eV/atom.

Cell lengths 5.267, 5.269, 7.568 Å; angles 89.95, 89.97, 90.00 degrees
Element x y z (fractional)
La (0.501, 0.497, 0.998)
Tl (0.501, 0.998, 0.739)
Tl (0.001, 0.498, 0.257)
Tl (0.501, 0.997, 0.257)
Tl (0.001, 0.497, 0.739)
Nd (0.001, 0.997, 0.498)

---

No. 10
Here is a relaxed Nb2GeSBr crystal from Alexandria via LeMat-Bulk. Energies are from GGA-PBE.

Results
Its density of states at the Fermi level is 1.1216 states/eV/atom. As for the symmetry: P4/mmm, No. 123. As for the uncorrected formation energy: 480 kJ/mol of formula units. The total magnetization is 2.90 μB per cell. The value obtained for the volume is 117 Å³/cell. The calculation puts the mass density at 5.3 Mg/m³. The electronic total energy comes out at -25.59 eV per cell.

Cell lengths 5.018, 4.632, 5.018 Å; angles 90.00, 90.00, 90.00 degrees
Each line ends with the local moment (μB).
Element x y z (fractional)
S (0.000, 0.500, 0.000)  -0.07
Nb (0.500, 0.000, 0.000)  1.11
Nb (0.000, 0.000, 0.500)  1.31
Br (0.500, 0.500, 0.500)  0.00
Ge (0.000, 0.000, 0.000)  -0.04

---

No. 11
Here is a relaxed Pr9Nd2Sm3 crystal from Alexandria via LeMat-Bulk. Energies are from GGA-PBE.

Results
Its density of states at the Fermi level is 1.3508 states/eV/atom. As for the symmetry: P6_3/m, No. 176. The total magnetization is 0.00 μB per cell. The value obtained for the volume is 1040 Å³/cell. The calculation puts the mass density at 6.4 Mg/m³. The electronic total energy comes out at -127.13 eV per cell. The calculation puts the energy of formation at 0.22 eV/atom.

Cell lengths 9.278, 9.278, 13.957 Å; angles 90.00, 90.00, 120.00 degrees
Element x y z (fractional)
Nd (0.333, 0.667, 0.360)
Nd (0.667, 0.333, 0.640)
Nd (0.333, 0.667, 0.140)
Nd (0.667, 0.333, 0.860)
Pr (0.595, 0.871, 0.960)
Pr (0.276, 0.405, 0.540)
Pr (0.520, 0.601, 0.750)
Pr (0.405, 0.129, 0.040)
Pr (0.871, 0.276, 0.460)
Pr (0.595, 0.871, 0.540)
Pr (0.276, 0.405, 0.960)
Pr (0.399, 0.919, 0.750)
Pr (0.871, 0.276, 0.040)
Pr (0.480, 0.399, 0.250)
Pr (0.081, 0.480, 0.750)
Pr (0.724, 0.595, 0.460)
Pr (0.724, 0.595, 0.040)
Pr (0.919, 0.520, 0.250)
Pr (0.129, 0.724, 0.540)
Pr (0.601, 0.081, 0.250)
Pr (0.129, 0.724, 0.960)
Pr (0.405, 0.129, 0.460)
Sm (0.751, 0.831, 0.250)
Sm (0.249, 0.169, 0.750)
Sm (0.920, 0.751, 0.750)
Sm (0.831, 0.080, 0.750)
Sm (0.080, 0.249, 0.250)
Sm (0.169, 0.920, 0.250)

---

No. 12
Here is a relaxed Cs4S2F crystal from Alexandria via LeMat-Bulk. Energies are from GGA-PBE.

Results
Its density of states at the Fermi level is 1.2768 states/eV/atom. As for the symmetry: I4/mmm, No. 139. As for the uncorrected formation energy: -881 kJ/mol of formula units. The total magnetization is 1.07 μB per cell. The value obtained for the volume is 285 Å³/cell. The calculation puts the mass density at 3.6 Mg/m³. The electronic total energy comes out at -22.67 eV per cell.

Cell lengths 5.679, 5.679, 9.708 Å; angles 107.01, 107.01, 90.00 degrees
Each line ends with the local moment (μB).
Element x y z (fractional)
Cs (0.500, 0.000, 0.000)  0.01
Cs (0.824, 0.824, 0.647)  0.01
Cs (0.176, 0.176, 0.353)  0.01
Cs (0.000, 0.500, 0.000)  0.01
S (0.631, 0.631, 0.262)  0.28
S (0.369, 0.369, 0.738)  0.28
F (0.000, 0.000, 0.000)  0.00